No. 1
KLi2Ir: single point on PBEsol structure, meta-GGA SCAN.

Structure (CIF):
```
data_KLi2Ir
_cell_length_a 3.168
_cell_length_b 3.168
_cell_length_c 8.236
_cell_angle_alpha 90.00
_cell_angle_beta 90.00
_cell_angle_gamma 90.00
_space_group_name_H-M_alt 'P 1'
_space_group_IT_number 1
_space_group_name_Hall 'P 1'
loop_
_atom_site_label
_atom_site_type_symbol
_atom_site_fract_x
_atom_site_fract_y
_atom_site_fract_z
K1 K 0.000 0.000 0.000
Li1 Li 0.000 0.000 0.599
Li2 Li 0.500 0.500 0.416
Ir1 Ir 0.500 0.500 0.721
```

Values from the calculation:
**Energy relative to the elements**: 0.330 eV per atom
**Crystal system**: tetragonal
**Energy above the most stable polymorph in this dataset**: 0 meV/atom

No. 2
Al2GeRuAu: single point on PBEsol structure, meta-GGA SCAN.

Structure (CIF):
```
data_Al2GeRuAu
_cell_length_a 4.673
_cell_length_b 4.673
_cell_length_c 4.592
_cell_angle_alpha 90.00
_cell_angle_beta 90.00
_cell_angle_gamma 90.00
_space_group_name_H-M_alt 'P 1'
_space_group_IT_number 1
_space_group_name_Hall 'P 1'
loop_
_atom_site_label
_atom_site_type_symbol
_atom_site_fract_x
_atom_site_fract_y
_atom_site_fract_z
Al1 Al 0.000 0.500 0.000
Al2 Al 0.500 0.000 0.000
Ge1 Ge 0.000 0.000 0.500
Ru1 Ru 0.000 0.000 0.000
Au1 Au 0.500 0.500 0.500
```

Values from the calculation:
**Energy relative to the elements**: 0.016 eV per atom
**Crystal system**: tetragonal

No. 3
MnAlNi2: single point on PBEsol structure, meta-GGA SCAN.

Structure (CIF):
```
data_MnAlNi2
_cell_length_a 2.561
_cell_length_b 2.561
_cell_length_c 23.866
_cell_angle_alpha 90.00
_cell_angle_beta 90.00
_cell_angle_gamma 120.00
_space_group_name_H-M_alt 'P 1'
_space_group_IT_number 1
_space_group_name_Hall 'P 1'
loop_
_atom_site_label
_atom_site_type_symbol
_atom_site_fract_x
_atom_site_fract_y
_atom_site_fract_z
Mn1 Mn 0.000 0.000 0.000
Mn2 Mn 0.333 0.667 0.667
Mn3 Mn 0.667 0.333 0.333
Al1 Al 0.000 0.000 0.753
Al2 Al 0.333 0.667 0.420
Al3 Al 0.667 0.333 0.086
Ni1 Ni 0.000 0.000 0.252
Ni2 Ni 0.000 0.000 0.501
Ni3 Ni 0.333 0.667 0.168
Ni4 Ni 0.333 0.667 0.919
Ni5 Ni 0.667 0.333 0.586
Ni6 Ni 0.667 0.333 0.835
```

Values from the calculation:
**Energy relative to the elements**: -0.112 eV per atom
**Crystal system**: trigonal

No. 4
NiRh2: single point on PBEsol structure, meta-GGA SCAN.

Structure (CIF):
```
data_NiRh2
_cell_length_a 2.636
_cell_length_b 3.690
_cell_length_c 7.763
_cell_angle_alpha 90.00
_cell_angle_beta 90.00
_cell_angle_gamma 90.00
_space_group_name_H-M_alt 'P 1'
_space_group_IT_number 1
_space_group_name_Hall 'P 1'
loop_
_atom_site_label
_atom_site_type_symbol
_atom_site_fract_x
_atom_site_fract_y
_atom_site_fract_z
Ni1 Ni 0.250 0.250 0.079
Ni2 Ni 0.750 0.750 0.921
Rh1 Rh 0.250 0.250 0.412
Rh2 Rh 0.250 0.250 0.761
Rh3 Rh 0.750 0.750 0.239
Rh4 Rh 0.750 0.750 0.588
```

Values from the calculation:
**Energy relative to the elements**: 0.039 eV per atom
**Crystal system**: orthorhombic
**Energy above the most stable polymorph in this dataset**: 2 meV/atom

No. 5
Rb2BePb: single point on PBEsol structure, meta-GGA SCAN.

Structure (CIF):
```
data_Rb2BePb
_cell_length_a 8.408
_cell_length_b 8.408
_cell_length_c 8.408
_cell_angle_alpha 90.00
_cell_angle_beta 90.00
_cell_angle_gamma 90.00
_space_group_name_H-M_alt 'P 1'
_space_group_IT_number 1
_space_group_name_Hall 'P 1'
loop_
_atom_site_label
_atom_site_type_symbol
_atom_site_fract_x
_atom_site_fract_y
_atom_site_fract_z
Rb1 Rb 0.250 0.250 0.250
Rb2 Rb 0.250 0.250 0.750
Rb3 Rb 0.250 0.750 0.250
Rb4 Rb 0.250 0.750 0.750
Rb5 Rb 0.750 0.250 0.250
Rb6 Rb 0.750 0.250 0.750
Rb7 Rb 0.750 0.750 0.250
Rb8 Rb 0.750 0.750 0.750
Be1 Be 0.000 0.000 0.000
Be2 Be 0.000 0.500 0.500
Be3 Be 0.500 0.000 0.500
Be4 Be 0.500 0.500 0.000
Pb1 Pb 0.000 0.000 0.500
Pb2 Pb 0.000 0.500 0.000
Pb3 Pb 0.500 0.000 0.000
Pb4 Pb 0.500 0.500 0.500
```

Values from the calculation:
**Energy relative to the elements**: 0.640 eV per atom
**Crystal system**: cubic

No. 6
TaAlAsSe2: single point on PBEsol structure, meta-GGA SCAN.

Structure (CIF):
```
data_TaAlAsSe2
_cell_length_a 4.966
_cell_length_b 4.966
_cell_length_c 5.021
_cell_angle_alpha 90.00
_cell_angle_beta 90.00
_cell_angle_gamma 90.00
_space_group_name_H-M_alt 'P 1'
_space_group_IT_number 1
_space_group_name_Hall 'P 1'
loop_
_atom_site_label
_atom_site_type_symbol
_atom_site_fract_x
_atom_site_fract_y
_atom_site_fract_z
Ta1 Ta 0.000 0.000 0.000
Al1 Al 0.500 0.500 0.500
As1 As 0.000 0.000 0.500
Se1 Se 0.000 0.500 0.000
Se2 Se 0.500 0.000 0.000
```

Values from the calculation:
**Formation energy (no corrections)**: 0.66 eV per formula unit
**Crystal system**: tetragonal
**Energy above the most stable polymorph in this dataset**: 0 meV/atom

No. 7
MgMo2Os: single point on PBEsol structure, meta-GGA SCAN.

Structure (CIF):
```
data_MgMo2Os
_cell_length_a 3.109
_cell_length_b 3.109
_cell_length_c 6.426
_cell_angle_alpha 90.00
_cell_angle_beta 90.00
_cell_angle_gamma 90.00
_space_group_name_H-M_alt 'P 1'
_space_group_IT_number 1
_space_group_name_Hall 'P 1'
loop_
_atom_site_label
_atom_site_type_symbol
_atom_site_fract_x
_atom_site_fract_y
_atom_site_fract_z
Mg1 Mg 0.000 0.000 0.000
Mo1 Mo 0.000 0.000 0.512
Mo2 Mo 0.500 0.500 0.278
Os1 Os 0.500 0.500 0.740
```

Values from the calculation:
**Energy relative to the elements**: 0.249 eV per atom
**Crystal system**: tetragonal

No. 8
RbCdP2S: single point on PBEsol structure, meta-GGA SCAN.

Structure (CIF):
```
data_RbCdP2S
_cell_length_a 5.007
_cell_length_b 5.007
_cell_length_c 5.221
_cell_angle_alpha 90.00
_cell_angle_beta 90.00
_cell_angle_gamma 90.00
_space_group_name_H-M_alt 'P 1'
_space_group_IT_number 1
_space_group_name_Hall 'P 1'
loop_
_atom_site_label
_atom_site_type_symbol
_atom_site_fract_x
_atom_site_fract_y
_atom_site_fract_z
Rb1 Rb 0.000 0.000 0.000
Cd1 Cd 0.500 0.500 0.500
P1 P 0.000 0.500 0.500
P2 P 0.500 0.000 0.500
S1 S 0.500 0.500 0.000
```

Values from the calculation:
**Formation energy (no corrections)**: 2.23 eV per formula unit
**Crystal system**: tetragonal

No. 9
AlAsPdBr2: single point on PBEsol structure, meta-GGA SCAN.

Structure (CIF):
```
data_AlAsPdBr2
_cell_length_a 5.224
_cell_length_b 5.224
_cell_length_c 4.688
_cell_angle_alpha 90.00
_cell_angle_beta 90.00
_cell_angle_gamma 90.00
_space_group_name_H-M_alt 'P 1'
_space_group_IT_number 1
_space_group_name_Hall 'P 1'
loop_
_atom_site_label
_atom_site_type_symbol
_atom_site_fract_x
_atom_site_fract_y
_atom_site_fract_z
Al1 Al 0.000 0.000 0.000
As1 As 0.500 0.500 0.000
Pd1 Pd 0.500 0.500 0.500
Br1 Br 0.000 0.500 0.500
Br2 Br 0.500 0.000 0.500
```

Values from the calculation:
**Formation energy (no corrections)**: 1.20 eV per formula unit
**Crystal system**: tetragonal
**Energy above the most stable polymorph in this dataset**: 0 meV/atom

No. 10
SrTl2Pb: single point on PBEsol structure, meta-GGA SCAN.

Structure (CIF):
```
data_SrTl2Pb
_cell_length_a 4.835
_cell_length_b 4.835
_cell_length_c 10.081
_cell_angle_alpha 90.00
_cell_angle_beta 90.00
_cell_angle_gamma 90.00
_space_group_name_H-M_alt 'P 1'
_space_group_IT_number 1
_space_group_name_Hall 'P 1'
loop_
_atom_site_label
_atom_site_type_symbol
_atom_site_fract_x
_atom_site_fract_y
_atom_site_fract_z
Sr1 Sr 0.000 0.000 0.000
Sr2 Sr 0.500 0.500 0.500
Tl1 Tl 0.000 0.000 0.500
Tl2 Tl 0.000 0.500 0.750
Tl3 Tl 0.500 0.000 0.250
Tl4 Tl 0.500 0.500 0.000
Pb1 Pb 0.000 0.500 0.250
Pb2 Pb 0.500 0.000 0.750
```

Values from the calculation:
**Energy relative to the elements**: -0.379 eV per atom
**Crystal system**: tetragonal